# 1
Computed, not measured: a geometry-optimized Cs2LaPb2O6 structure at the PBE-GGA level of DFT.

The structure in POSCAR format:
```
Cs2LaPb2O6
1.0
-5.051 1.493 -4.259
1.931 -6.343 0.872
-3.991 3.027 5.794
O Cs Pb La
6 2 2 1
direct
0.221 0.932 0.251
0.711 0.932 0.251
0.779 0.068 0.749
0.289 0.068 0.749
0.734 0.467 0.616
0.266 0.533 0.384
0.295 0.590 0.839
0.705 0.410 0.161
0.061 0.122 0.234
0.939 0.878 0.766
0.500 0.000 0.500
```

Crystal system: monoclinic
Density of states at the Fermi level: 4.28 states/eV/cell
Total energy: -5.474 eV/atom
Total magnetization: 0.33 μB per formula unit
Formation energy from raw total energies: -1.49 eV/atom

***

# 2
Computed, not measured: a geometry-optimized KLiCd2Ag structure at the PBE-GGA level of DFT.

The structure in POSCAR format:
```
KLiCd2Ag
1.0
5.411 0.000 0.000
0.000 5.411 0.000
0.000 0.000 5.158
Cd K Ag Li
2 1 1 1
direct
0.000 0.500 0.000
0.500 0.000 0.000
0.500 0.500 0.500
0.000 0.000 0.000
0.000 0.000 0.500
```

Calculated formation energy: -0.01 eV/atom
Crystal system: tetragonal
Density of states at the Fermi level: 2.02 states/eV/cell
Total energy: -1.544 eV/atom
Total magnetization: 0.00 μB per formula unit
Energy relative to the lowest polymorph listed for this composition: 0.00 eV/f.u.